Computed, not measured: crystalline Sc3Ga at its relaxed geometry at the GGA-PBE level of DFT.

Properties
The symmetry is No. 71. The final energy comes out at -23.4 eV/f.u. For the volume, the calculation gives 86.6 Å³ per cell. For the total moment, the calculation gives 0.00 μB/cell. Its crystal system is orthorhombic.

a = 3.4739 Å, b = 4.8175 Å, c = 5.9687 Å
α = 113.80°, β = 106.92°, γ = 90.00°
Last column: nearest neighbours and their distance in Å.
Positions (direct):
Sc 0.7185 0.1349 0.4369  2 Ga 2.85, 4 Sc 3.04
Sc 0.2815 0.6980 0.5631  2 Ga 2.85, 4 Sc 3.04
Ga 0.0000 0.9169 0.0000  8 Sc 2.85-2.97
Sc 0.5000 0.4168 0.0000  4 Ga 2.97, 4 Sc 3.30-3.31

=====

Computed, not measured: crystalline Sc3Ga at its relaxed geometry at the GGA-PBE level of DFT.

Properties
The symmetry is No. 136. The final energy comes out at -22.6 eV/f.u. For the volume, the calculation gives 383.1 Å³ per cell. For the total moment, the calculation gives 0.00 μB/cell. Its crystal system is tetragonal.

a = 7.1831 Å, b = 7.1831 Å, c = 7.4244 Å
α = 90.00°, β = 90.00°, γ = 90.00°
Last column: nearest neighbours and their distance in Å.
Positions (direct):
Sc 0.3339 0.6661 0.7426  3 Ga 2.76-2.86
Sc 0.6661 0.3339 0.2574  3 Ga 2.76-2.86
Sc 0.0000 0.5000 0.0000  2 Ga 2.82
Sc 0.3339 0.6661 0.2574  3 Ga 2.76-2.86
Sc 0.8339 0.8339 0.7574  3 Ga 2.76-2.86
Sc 0.6661 0.3339 0.7426  3 Ga 2.76-2.86
Sc 0.1661 0.1661 0.7574  3 Ga 2.76-2.86
Sc 0.5000 0.0000 0.0000  2 Ga 2.82
Ga 0.6285 0.6285 0.0000  1 Ga 2.61, 8 Sc 2.76-2.86
Sc 0.0000 0.5000 0.5000  2 Ga 2.82
Sc 0.5000 0.0000 0.5000  2 Ga 2.82
Sc 0.1661 0.1661 0.2426  3 Ga 2.76-2.86
Ga 0.8715 0.1285 0.5000  1 Ga 2.61, 8 Sc 2.76-2.86
Sc 0.8339 0.8339 0.2426  3 Ga 2.76-2.86
Ga 0.1285 0.8715 0.5000  1 Ga 2.61, 8 Sc 2.76-2.86
Ga 0.3715 0.3715 0.0000  1 Ga 2.61, 8 Sc 2.76-2.86

=====

Computed, not measured: crystalline Sc3Ga at its relaxed geometry at the GGA-PBE level of DFT.

Properties
The symmetry is No. 25. The final energy comes out at -22.8 eV/f.u. For the volume, the calculation gives 86.8 Å³ per cell. For the total moment, the calculation gives 0.00 μB/cell. Its crystal system is orthorhombic.

a = 3.2349 Å, b = 4.9028 Å, c = 5.4750 Å
α = 90.00°, β = 90.00°, γ = 90.00°
Last column: nearest neighbours and their distance in Å.
Positions (direct):
Ga 0.0000 0.5000 0.3198  10 Sc 2.98-3.31, 2 Ga 3.23
Sc 0.5000 0.0000 0.4894  8 Sc 3.08-3.28, 4 Ga 3.08
Sc 0.5000 0.5000 0.8464  4 Ga 3.06-3.31, 8 Sc 3.07-3.23
Sc 0.0000 0.0000 0.0111  2 Ga 2.98, 10 Sc 3.07-3.28

=====

Computed, not measured: crystalline ScGa3 at its relaxed geometry at the GGA-PBE level of DFT.

Properties
The symmetry is No. 221. The final energy comes out at -17.4 eV/f.u. For the volume, the calculation gives 69.7 Å³ per cell. For the total moment, the calculation gives 0.00 μB/cell. Its crystal system is cubic.

a = 4.1157 Å, b = 4.1158 Å, c = 4.1168 Å
α = 90.00°, β = 90.00°, γ = 90.00°
Last column: nearest neighbours and their distance in Å.
Positions (direct):
Ga 0.5000 0.5000 0.0834  8 Ga 2.91, 4 Sc 2.91
Sc 0.5000 0.0000 0.5833  12 Ga 2.91
Ga 0.0000 0.5000 0.5833  4 Sc 2.91, 8 Ga 2.91
Ga 0.0000 0.0000 0.0833  8 Ga 2.91, 4 Sc 2.91

=====

Computed, not measured: crystalline ScGa at its relaxed geometry at the GGA-PBE level of DFT.

Properties
The symmetry is No. 83. The final energy comes out at -9.6 eV/f.u. For the volume, the calculation gives 353.1 Å³ per cell. For the total moment, the calculation gives 0.00 μB/cell. Its crystal system is tetragonal.

a = 8.4156 Å, b = 8.4156 Å, c = 4.9863 Å
α = 90.00°, β = 90.00°, γ = 90.00°
Last column: nearest neighbours and their distance in Å.
Positions (direct):
Sc 0.0696 0.6952 0.0000  5 Ga 2.84-3.10, 2 Sc 3.06
Ga 0.2843 0.4087 0.0000  4 Ga 2.79-3.00, 3 Sc 2.86-3.10
Sc 0.2335 0.8712 0.5000  3 Ga 2.71-2.95
Sc 0.6952 0.9304 0.0000  5 Ga 2.84-3.10, 2 Sc 3.06
Sc 0.9304 0.3048 0.0000  5 Ga 2.84-3.10, 2 Sc 3.06
Sc 0.3048 0.0696 0.0000  5 Ga 2.84-3.10, 2 Sc 3.06
Ga 0.4087 0.7157 0.0000  4 Ga 2.79-3.00, 3 Sc 2.86-3.10
Sc 0.8712 0.7665 0.5000  3 Ga 2.71-2.95
Sc 0.7665 0.1288 0.5000  3 Ga 2.71-2.95
Ga 0.5552 0.8485 0.5000  3 Ga 2.71-3.00, 5 Sc 2.71-2.95
Ga 0.8485 0.4448 0.5000  3 Ga 2.71-3.00, 5 Sc 2.71-2.95
Ga 0.1515 0.5552 0.5000  3 Ga 2.71-3.00, 5 Sc 2.71-2.95
Ga 0.5913 0.2843 0.0000  4 Ga 2.79-3.00, 3 Sc 2.86-3.10
Ga 0.7157 0.5913 0.0000  4 Ga 2.79-3.00, 3 Sc 2.86-3.10
Ga 0.4448 0.1515 0.5000  3 Ga 2.71-3.00, 5 Sc 2.71-2.95
Sc 0.1288 0.2335 0.5000  3 Ga 2.71-2.95

=====

Computed, not measured: crystalline Sc3Ga5 at its relaxed geometry at the GGA-PBE level of DFT.

Properties
The symmetry is No. 62. The final energy comes out at -39.0 eV/f.u. For the volume, the calculation gives 587.4 Å³ per cell. The calculation puts the polymorph energy (0 for the lowest one) at 0 meV per atom. For the total moment, the calculation gives 0.00 μB/cell. Its crystal system is orthorhombic.

a = 5.7555 Å, b = 9.2885 Å, c = 10.9869 Å
α = 90.00°, β = 90.00°, γ = 90.00°
Last column: nearest neighbours and their distance in Å.
Positions (direct):
Ga 0.3772 0.2500 0.7081  3 Ga 2.66-2.72, 3 Sc 2.82-2.83
Sc 0.6504 0.7500 0.5641  8 Ga 2.70-3.02
Ga 0.3430 0.7500 0.7494  5 Sc 2.70-2.97, 5 Ga 2.72-2.97
Sc 0.8910 0.5060 0.3548  9 Ga 2.83-3.10
Ga 0.6228 0.7500 0.2919  3 Ga 2.66-2.72, 3 Sc 2.82-2.83
Ga 0.3755 0.5479 0.4046  4 Ga 2.64-2.83, 3 Sc 2.79-2.89
Ga 0.3755 0.9521 0.4046  4 Ga 2.64-2.83, 3 Sc 2.79-2.89
Sc 0.8910 0.9940 0.3548  9 Ga 2.83-3.10
Ga 0.8755 0.4521 0.0954  4 Ga 2.64-2.83, 3 Sc 2.79-2.89
Ga 0.6570 0.2500 0.2506  5 Sc 2.70-2.97, 5 Ga 2.72-2.97
Ga 0.6245 0.4521 0.5954  4 Ga 2.64-2.83, 3 Sc 2.79-2.89
Sc 0.1504 0.2500 0.9359  8 Ga 2.70-3.02
Ga 0.8430 0.2500 0.7506  5 Sc 2.70-2.97, 5 Ga 2.72-2.97
Ga 0.1228 0.2500 0.2081  3 Ga 2.66-2.72, 3 Sc 2.82-2.83
Ga 0.1188 0.7500 0.5062  3 Ga 2.64-2.83, 3 Sc 2.77-2.83
Sc 0.8496 0.7500 0.0641  8 Ga 2.70-3.02
Ga 0.3812 0.7500 0.0062  3 Ga 2.64-2.83, 3 Sc 2.77-2.83
Ga 0.1245 0.5479 0.9046  4 Ga 2.64-2.83, 3 Sc 2.79-2.89
Sc 0.3910 0.4940 0.1452  9 Ga 2.83-3.10
Sc 0.6090 0.9940 0.8548  9 Ga 2.83-3.10
Sc 0.1090 0.4940 0.6452  9 Ga 2.83-3.10
Ga 0.8812 0.2500 0.4938  3 Ga 2.64-2.83, 3 Sc 2.77-2.83
Sc 0.3496 0.2500 0.4359  8 Ga 2.70-3.02
Ga 0.6245 0.0479 0.5954  4 Ga 2.64-2.83, 3 Sc 2.79-2.89
Ga 0.6188 0.2500 0.9938  3 Ga 2.64-2.83, 3 Sc 2.77-2.83
Ga 0.1570 0.7500 0.2494  5 Sc 2.70-2.97, 5 Ga 2.72-2.97
Sc 0.3910 0.0060 0.1452  9 Ga 2.83-3.10
Ga 0.8755 0.0479 0.0954  4 Ga 2.64-2.83, 3 Sc 2.79-2.89
Sc 0.6090 0.5060 0.8548  9 Ga 2.83-3.10
Ga 0.1245 0.9521 0.9046  4 Ga 2.64-2.83, 3 Sc 2.79-2.89
Ga 0.8772 0.7500 0.7919  3 Ga 2.66-2.72, 3 Sc 2.82-2.83
Sc 0.1090 0.0060 0.6452  9 Ga 2.83-3.10

=====

Computed, not measured: crystalline ScGa at its relaxed geometry at the GGA-PBE level of DFT.

Properties
The symmetry is No. 217. The final energy comes out at -8.5 eV/f.u. For the volume, the calculation gives 559.7 Å³ per cell. For the total moment, the calculation gives 7.63 μB/cell. Its crystal system is cubic.

a = 8.2412 Å, b = 8.2412 Å, c = 8.2412 Å
α = 90.00°, β = 90.00°, γ = 90.00°
Last column: nearest neighbours and their distance in Å.
Positions (direct):
Sc 0.2997 0.7003 0.2997  4 Ga 2.64-2.78
Sc 0.2003 0.7997 0.7997  4 Ga 2.64-2.78
Sc 0.7003 0.7003 0.7003  4 Ga 2.64-2.78
Sc 0.2997 0.2997 0.7003  4 Ga 2.64-2.78
Ga 0.1147 0.8853 0.1147  4 Sc 2.64-2.78, 3 Ga 2.67
Ga 0.3853 0.3853 0.3853  4 Sc 2.64-2.78, 3 Ga 2.67
Ga 0.3853 0.6147 0.6147  4 Sc 2.64-2.78, 3 Ga 2.67
Sc 0.7997 0.7997 0.2003  4 Ga 2.64-2.78
Sc 0.7997 0.2003 0.7997  4 Ga 2.64-2.78
Ga 0.8853 0.1147 0.1147  4 Sc 2.64-2.78, 3 Ga 2.67
Sc 0.2003 0.2003 0.2003  4 Ga 2.64-2.78
Ga 0.6147 0.3853 0.6147  4 Sc 2.64-2.78, 3 Ga 2.67
Ga 0.6147 0.6147 0.3853  4 Sc 2.64-2.78, 3 Ga 2.67
Ga 0.1147 0.1147 0.8853  4 Sc 2.64-2.78, 3 Ga 2.67
Sc 0.7003 0.2997 0.2997  4 Ga 2.64-2.78
Ga 0.8853 0.8853 0.8853  4 Sc 2.64-2.78, 3 Ga 2.67

=====

Computed, not measured: crystalline ScGa4 at its relaxed geometry at the GGA-PBE level of DFT.

Properties
The symmetry is No. 221. The final energy comes out at -15.8 eV/f.u. For the volume, the calculation gives 145.3 Å³ per cell. The calculation puts the polymorph energy (0 for the lowest one) at 872 meV per atom. For the total moment, the calculation gives 0.00 μB/cell. Its crystal system is cubic.

a = 5.2572 Å, b = 5.2572 Å, c = 5.2572 Å
α = 90.00°, β = 90.00°, γ = 90.00°
Last column: nearest neighbours and their distance in Å.
Positions (direct):
Ga 0.0000 0.0000 0.0000  12 Ga 3.72
Ga 0.0000 0.5000 0.5000  2 Sc 2.63
Ga 0.5000 0.5000 0.0000  2 Sc 2.63
Ga 0.5000 0.0000 0.5000  2 Sc 2.63
Sc 0.5000 0.5000 0.5000  6 Ga 2.63

=====

Computed, not measured: crystalline Sc3Ga at its relaxed geometry at the GGA-PBE level of DFT.

Properties
The symmetry is No. 225. The final energy comes out at -22.7 eV/f.u. For the volume, the calculation gives 84.7 Å³ per cell. For the total moment, the calculation gives 1.28 μB/cell. Its crystal system is cubic.

a = 4.9291 Å, b = 4.9291 Å, c = 4.9291 Å
α = 60.00°, β = 60.00°, γ = 60.00°
Last column: nearest neighbours and their distance in Å.
Positions (direct):
Ga 0.5000 0.5000 0.5000  8 Sc 3.02
Sc 0.2500 0.2500 0.2500  4 Sc 3.02, 4 Ga 3.02
Sc 0.7500 0.7500 0.7500  4 Sc 3.02, 4 Ga 3.02
Sc 0.0000 0.0000 0.0000  8 Sc 3.02

=====

Computed, not measured: crystalline ScGa at its relaxed geometry at the GGA-PBE level of DFT.

Properties
The symmetry is No. 62. The final energy comes out at -10.4 eV/f.u. For the volume, the calculation gives 304.3 Å³ per cell. For the total moment, the calculation gives 0.00 μB/cell. Its crystal system is orthorhombic.

a = 11.1931 Å, b = 4.7047 Å, c = 5.7788 Å
α = 90.00°, β = 90.00°, γ = 90.00°
Last column: nearest neighbours and their distance in Å.
Positions (direct):
Sc 0.6791 0.2500 0.4364  7 Ga 2.76-2.95
Sc 0.9450 0.2500 0.6668  7 Ga 2.83-3.09, 2 Sc 3.14
Sc 0.4450 0.2500 0.8332  7 Ga 2.83-3.09, 2 Sc 3.14
Sc 0.8209 0.7500 0.9364  7 Ga 2.76-2.95
Sc 0.0550 0.7500 0.3332  7 Ga 2.83-3.09, 2 Sc 3.14
Sc 0.1791 0.2500 0.0636  7 Ga 2.76-2.95
Ga 0.0783 0.7500 0.8277  8 Sc 2.87-3.11, 3 Ga 2.90-3.09
Ga 0.5783 0.7500 0.6723  8 Sc 2.87-3.11, 3 Ga 2.90-3.09
Ga 0.3087 0.7500 0.0577  7 Sc 2.76-3.09, 3 Ga 2.90-3.09
Sc 0.3209 0.7500 0.5636  7 Ga 2.76-2.95
Ga 0.8087 0.7500 0.4423  7 Sc 2.76-3.09, 3 Ga 2.90-3.09
Ga 0.6913 0.2500 0.9423  7 Sc 2.76-3.09, 3 Ga 2.90-3.09
Ga 0.1913 0.2500 0.5577  7 Sc 2.76-3.09, 3 Ga 2.90-3.09
Sc 0.5550 0.7500 0.1668  7 Ga 2.83-3.09, 2 Sc 3.14
Ga 0.4217 0.2500 0.3277  8 Sc 2.87-3.11, 3 Ga 2.90-3.09
Ga 0.9217 0.2500 0.1723  8 Sc 2.87-3.11, 3 Ga 2.90-3.09

=====

Computed, not measured: crystalline Sc2Ga3 at its relaxed geometry at the GGA-PBE level of DFT.

Properties
The symmetry is No. 63. The final energy comes out at -24.6 eV/f.u. For the volume, the calculation gives 185.2 Å³ per cell. For the total moment, the calculation gives 0.75 μB/cell. Its crystal system is orthorhombic.

a = 3.3402 Å, b = 4.2743 Å, c = 13.0807 Å
α = 90.00°, β = 97.34°, γ = 90.00°
Last column: nearest neighbours and their distance in Å.
Positions (direct):
Sc 0.5731 0.7500 0.1462  12 Ga 2.98-3.16
Ga 0.8793 0.7500 0.7587  3 Ga 2.49-2.58
Ga 0.1766 0.7500 0.3532  2 Ga 2.58, 5 Sc 2.87-2.88
Sc 0.2877 0.7500 0.5754  7 Ga 2.87-2.91
Sc 0.7123 0.2500 0.4246  7 Ga 2.87-2.91
Sc 0.4269 0.2500 0.8538  12 Ga 2.98-3.16
Ga 0.9754 0.7500 0.9509  3 Ga 2.49
Ga 0.8234 0.2500 0.6468  2 Ga 2.58, 5 Sc 2.87-2.88
Ga 0.0246 0.2500 0.0491  3 Ga 2.49
Ga 0.1207 0.2500 0.2413  3 Ga 2.49-2.58

=====

Computed, not measured: crystalline Sc11Ga10 at its relaxed geometry at the GGA-PBE level of DFT.

Properties
The symmetry is No. 139. The final energy comes out at -112.2 eV/f.u. For the volume, the calculation gives 835.7 Å³ per cell. For the total moment, the calculation gives 0.00 μB/cell. Its crystal system is tetragonal.

a = 10.6460 Å, b = 10.6460 Å, c = 10.6460 Å
α = 121.30°, β = 121.30°, γ = 87.76°
Last column: nearest neighbours and their distance in Å.
Positions (direct):
Ga 0.8745 0.8745 0.7490  2 Ga 2.62, 1 Sc 2.89
Ga 0.0301 0.6171 0.0000  1 Ga 2.60, 2 Sc 2.73
Sc 0.7771 0.1046 0.6725  7 Ga 2.73-2.96
Ga 0.5000 0.8673 0.3673  6 Sc 2.71-2.78, 1 Ga 2.77
Ga 0.7500 0.2500 0.5000  8 Sc 2.84-2.87
Sc 0.1046 0.4321 0.3275  7 Ga 2.73-2.96
Ga 0.6017 0.6017 0.0000  8 Sc 2.86-3.06, 1 Ga 3.12
Ga 0.6171 0.6171 0.5870  1 Ga 2.60, 2 Sc 2.73
Ga 0.3829 0.3829 0.4130  1 Ga 2.60, 2 Sc 2.73
Sc 0.3150 0.0694 0.7544  7 Ga 2.84-3.11
Ga 0.6171 0.0301 0.0000  1 Ga 2.60, 2 Sc 2.73
Ga 0.8745 0.1255 0.0000  2 Ga 2.62, 1 Sc 2.89
Sc 0.4321 0.1046 0.3275  7 Ga 2.73-2.96
Sc 0.6850 0.4395 0.7544  7 Ga 2.84-3.11
Sc 0.3216 0.6784 0.0000  3 Ga 2.71-2.89
Sc 0.6850 0.9306 0.2456  7 Ga 2.84-3.11
Ga 0.2500 0.7500 0.5000  8 Sc 2.84-2.87
Sc 0.5605 0.3150 0.2456  7 Ga 2.84-3.11
Sc 0.9306 0.6850 0.2456  7 Ga 2.84-3.11
Ga 0.1255 0.1255 0.2510  2 Ga 2.62, 1 Sc 2.89
Sc 0.6784 0.3216 0.0000  3 Ga 2.71-2.89
Sc 0.1668 0.1668 0.0000  8 Ga 3.05-3.16
Ga 0.0301 0.0301 0.4130  1 Ga 2.60, 2 Sc 2.73
Ga 0.1255 0.8745 0.0000  2 Ga 2.62, 1 Sc 2.89
Ga 0.3829 0.9699 0.0000  1 Ga 2.60, 2 Sc 2.73
Sc 0.3216 0.3216 0.6431  3 Ga 2.71-2.89
Ga 0.9699 0.9699 0.5870  1 Ga 2.60, 2 Sc 2.73
Ga 0.3983 0.3983 0.0000  8 Sc 2.86-3.06, 1 Ga 3.12
Sc 0.2229 0.8954 0.3275  7 Ga 2.73-2.96
Sc 0.8954 0.2229 0.3275  7 Ga 2.73-2.96
Sc 0.8954 0.5679 0.6725  7 Ga 2.73-2.96
Ga 0.5000 0.1327 0.6327  6 Sc 2.71-2.78, 1 Ga 2.77
Sc 0.8332 0.8332 0.0000  8 Ga 3.05-3.16
Ga 0.8673 0.5000 0.3673  6 Sc 2.71-2.78, 1 Ga 2.77
Sc 0.6784 0.6784 0.3569  3 Ga 2.71-2.89
Sc 0.4395 0.6850 0.7544  7 Ga 2.84-3.11
Sc 0.5679 0.8954 0.6725  7 Ga 2.73-2.96
Sc 0.3150 0.5605 0.2456  7 Ga 2.84-3.11
Sc 0.1046 0.7771 0.6725  7 Ga 2.73-2.96
Ga 0.9699 0.3829 0.0000  1 Ga 2.60, 2 Sc 2.73
Ga 0.1327 0.5000 0.6327  6 Sc 2.71-2.78, 1 Ga 2.77
Sc 0.0694 0.3150 0.7544  7 Ga 2.84-3.11